The following is a DFT calculation (PBE) of a relaxed Tb10Ge3Sb3 crystal.

Properties
- Calculated density: 8.40 g/cm³
- Calculated total energy: -86.19 eV/cell
- Uncorrected formation energy: -0.854 eV per atom
- N(E_F): 10.81 states/eV/f.u.
- Symmetry: No. 189

a = 6.3929 Å, b = 8.8048 Å, c = 8.8048 Å
α = 120.00°, β = 90.00°, γ = 90.00°
Atoms (fractional coordinates):
Tb (0.0000, 0.0000, 0.2425)
Tb (0.7430, 0.6667, 0.3333)
Tb (0.2570, 0.6667, 0.3333)
Tb (0.5000, 0.0000, 0.7560)
Tb (0.2570, 0.3333, 0.6667)
Tb (0.0000, 0.2425, 0.0000)
Tb (0.7430, 0.3333, 0.6667)
Tb (0.5000, 0.2440, 0.2440)
Tb (0.5000, 0.7560, 0.0000)
Tb (0.0000, 0.7575, 0.7575)
Sb (0.0000, 0.6058, 0.0000)
Sb (0.0000, 0.0000, 0.6058)
Sb (0.0000, 0.3942, 0.3942)
Ge (0.5000, 0.3891, 0.0000)
Ge (0.5000, 0.6109, 0.6109)
Ge (0.5000, 0.0000, 0.3891)